Here is a relaxed K3MoO4 crystal from the Alexandria database. Energies are from PBE+U.

Geometry as extended XYZ:
```
16
Lattice="6.264 0.000 0.000 0.000 6.840 0.000 0.000 0.000 8.325" Properties=species:S:1:pos:R:3 pbc="T T T"
Mo 6.255 1.226 0.000
Mo 3.124 5.614 4.163
O 1.267 5.372 4.163
O 0.598 6.287 0.000
O 4.399 1.468 0.000
O 3.679 4.862 2.535
O 0.547 1.978 1.628
O 3.679 4.862 5.791
O 3.730 0.553 4.163
O 0.547 1.978 6.697
K 3.202 2.233 2.153
K 0.071 4.607 6.316
K 0.135 0.971 4.163
K 3.202 2.233 6.172
K 3.267 5.869 0.000
K 0.071 4.607 2.009
```

Output
The raw total energy comes out at -5.485 eV/atom. Its crystal system is orthorhombic.